Entry 1:
PmGa6Ni12 after structural relaxation, computed with PBE.

Geometry as POSCAR:
```
PmGa6Ni12
1.0
5.3007 3.0604 2.6867
-5.3007 3.0604 2.6867
0.0000 -6.1208 2.6867
Pm Ga Ni
1 6 12
direct
0.0000 0.0000 0.0000
0.2724 0.2724 0.7106
0.2724 0.7106 0.2724
0.2894 0.7276 0.7276
0.7106 0.2724 0.2724
0.7276 0.2894 0.7276
0.7276 0.7276 0.2894
0.1141 0.5000 0.8859
0.1141 0.8859 0.5000
0.1494 0.3971 0.3971
0.3971 0.1494 0.3971
0.3971 0.3971 0.1494
0.5000 0.1141 0.8859
0.5000 0.8859 0.1141
0.6029 0.6029 0.8506
0.6029 0.8506 0.6029
0.8506 0.6029 0.6029
0.8859 0.1141 0.5000
0.8859 0.5000 0.1141
```

Summary:
M_tot ... 0.00 μB/f.u.
SG ... R-3m
ΔH_f (0 K) ... -0.231 eV/atom



Entry 2:
Pm11Ga9Ni4 after structural relaxation, computed with PBE.

Geometry as POSCAR:
```
Pm11Ga9Ni4
1.0
7.0320 -10.5556 0.0000
7.0320 10.5556 0.0000
0.0000 0.0000 3.6784
Pm Ga Ni
11 9 4
direct
0.0000 0.0000 0.0000
0.0697 0.4128 0.0000
0.1672 0.8328 0.0000
0.3088 0.3088 0.0000
0.3736 0.6264 0.0000
0.4128 0.0697 0.0000
0.5872 0.9303 0.0000
0.6264 0.3736 0.0000
0.6912 0.6912 0.0000
0.8328 0.1672 0.0000
0.9303 0.5872 0.0000
0.0816 0.2197 0.5000
0.1682 0.6301 0.5000
0.2197 0.0816 0.5000
0.3699 0.8318 0.5000
0.5000 0.5000 0.5000
0.6301 0.1682 0.5000
0.7803 0.9184 0.5000
0.8318 0.3699 0.5000
0.9184 0.7803 0.5000
0.2422 0.4463 0.5000
0.4463 0.2422 0.5000
0.5537 0.7578 0.5000
0.7578 0.5537 0.5000
```

Summary:
M_tot ... 0.00 μB/f.u.
SG ... Cmmm
ΔH_f (0 K) ... -0.537 eV/atom



Entry 3:
PmGa2Ni2Pt after structural relaxation, computed with PBE.

Geometry as POSCAR:
```
PmGa2Ni2Pt
1.0
4.6980 0.0000 0.0000
0.0000 4.6980 0.0000
0.0000 0.0000 5.4311
Pm Ga Ni Pt
1 2 2 1
direct
0.0000 0.0000 0.0000
0.0000 0.5000 0.5000
0.5000 0.0000 0.5000
0.5000 0.5000 0.2392
0.5000 0.5000 0.7608
0.0000 0.0000 0.5000
```

Summary:
M_tot ... 0.00 μB/f.u.
SG ... P4/mmm
ΔH_f (0 K) ... -0.133 eV/atom